[1]
{"formula": "LiTlI2N", "functional": "GGA-PBE", "state": "optimized geometry", "magmom_total_mub_per_cell": 1.357, "e_form_raw_ev_per_atom": 0.410, "de_polymorph_ev_per_fu": 0.61, "dft_energy_ev_per_atom": -2.73, "sg": "P4/mmm (123)", "cell": [[6.284, 0.000, 0.000], [0.000, 6.284, 0.000], [0.000, 0.000, 4.318]], "species": ["Li", "Tl", "I", "I", "N"], "fractional_positions": [[0.000, 0.000, 0.000], [0.500, 0.500, 0.500], [0.000, 0.500, 0.500], [0.500, 0.000, 0.500], [0.500, 0.500, 0.000]]}

---

[2]
{"formula": "LiPmErGe", "functional": "GGA-PBE", "state": "optimized geometry", "magmom_total_mub_per_cell": 0.000, "delta_e_f_ev_per_atom": -0.409, "dft_energy_ev_per_atom": -4.37, "sg": "F-43m (216)", "cell": [[0.000, 3.580, 3.580], [3.580, 0.000, 3.580], [3.580, 3.580, 0.000]], "species": ["Li", "Pm", "Er", "Ge"], "fractional_positions": [[0.000, 0.000, 0.000], [0.750, 0.750, 0.750], [0.250, 0.250, 0.250], [0.500, 0.500, 0.500]]}

---

[3]
{"formula": "NaLi2Al", "functional": "GGA-PBE", "state": "optimized geometry", "magmom_total_mub_per_cell": 0.000, "delta_e_f_ev_per_atom": 0.201, "dft_energy_ev_per_atom": -2.02, "sg": "I-42d (122)", "cell": [[-3.826, 3.826, 3.044], [3.826, -3.826, 3.044], [3.826, 3.826, -3.044]], "species": ["Na", "Na", "Li", "Li", "Li", "Li", "Al", "Al"], "fractional_positions": [[0.000, 0.000, 0.000], [0.750, 0.250, 0.500], [0.142, 0.125, 0.517], [0.375, 0.858, 0.983], [0.608, 0.625, 0.483], [0.875, 0.392, 0.017], [0.250, 0.750, 0.500], [0.500, 0.500, 0.000]]}

---

[4]
{"formula": "Ce2ErPt", "functional": "GGA-PBE", "state": "optimized geometry", "magmom_total_mub_per_cell": 2.274, "delta_e_f_ev_per_atom": -0.177, "de_polymorph_ev_per_fu": 1.03, "dft_energy_ev_per_atom": -5.79, "sg": "R-3m (166)", "cell": [[1.813, 1.047, 10.302], [-1.813, 1.047, 10.302], [0.000, -2.094, 10.302]], "species": ["Ce", "Ce", "Er", "Pt"], "fractional_positions": [[0.103, 0.103, 0.103], [0.897, 0.897, 0.897], [0.000, 0.000, 0.000], [0.500, 0.500, 0.500]]}

---

[5]
{"formula": "CaAuCl", "functional": "GGA-PBE", "state": "optimized geometry", "magmom_total_mub_per_cell": 0.000, "e_form_raw_ev_per_atom": -0.886, "de_polymorph_ev_per_fu": 1.59, "dft_energy_ev_per_atom": -3.26, "sg": "F-43m (216)", "cell": [[0.000, 3.442, 3.442], [3.442, 0.000, 3.442], [3.442, 3.442, 0.000]], "species": ["Ca", "Au", "Cl"], "fractional_positions": [[0.000, 0.000, 0.000], [0.500, 0.500, 0.500], [0.750, 0.750, 0.750]]}

---

[6]
{"formula": "Tb12Pm7In", "functional": "GGA-PBE", "state": "optimized geometry", "magmom_total_mub_per_cell": 0.000, "delta_e_f_ev_per_atom": 0.149, "dft_energy_ev_per_atom": -4.43, "sg": "R-3 (148)", "cell": [[6.037, 3.485, 5.241], [-6.037, 3.485, 5.241], [0.000, -6.971, 5.241]], "species": ["Tb", "Tb", "Tb", "Tb", "Tb", "Tb", "Tb", "Tb", "Tb", "Tb", "Tb", "Tb", "Pm", "Pm", "Pm", "Pm", "Pm", "Pm", "Pm", "In"], "fractional_positions": [[0.003, 0.110, 0.642], [0.110, 0.642, 0.003], [0.243, 0.367, 0.750], [0.250, 0.757, 0.633], [0.358, 0.997, 0.890], [0.367, 0.750, 0.243], [0.633, 0.250, 0.757], [0.642, 0.003, 0.110], [0.750, 0.243, 0.367], [0.757, 0.633, 0.250], [0.890, 0.358, 0.997], [0.997, 0.890, 0.358], [0.000, 0.000, 0.000], [0.111, 0.422, 0.355], [0.355, 0.111, 0.422], [0.422, 0.355, 0.111], [0.578, 0.645, 0.889], [0.645, 0.889, 0.578], [0.889, 0.578, 0.645], [0.500, 0.500, 0.500]]}

---

[7]
{"formula": "Th4Hg5Os2", "functional": "GGA-PBE", "state": "optimized geometry", "magmom_total_mub_per_cell": 0.000, "delta_e_f_ev_per_atom": -0.281, "dft_energy_ev_per_atom": -5.16, "sg": "P2/m (10)", "cell": [[7.933, 0.000, 0.000], [0.000, 3.743, 0.000], [-0.867, 0.000, 9.706]], "species": ["Th", "Th", "Th", "Th", "Hg", "Hg", "Hg", "Hg", "Hg", "Os", "Os"], "fractional_positions": [[0.187, 0.000, 0.345], [0.214, 0.000, 0.940], [0.786, 0.000, 0.060], [0.813, 0.000, 0.655], [0.162, 0.500, 0.638], [0.468, 0.500, 0.171], [0.500, 0.500, 0.500], [0.532, 0.500, 0.829], [0.838, 0.500, 0.362], [0.086, 0.500, 0.140], [0.914, 0.500, 0.860]]}

---

[8]
{"formula": "CoNi2H4", "functional": "GGA-PBE", "state": "optimized geometry", "magmom_total_mub_per_cell": 0.000, "de_polymorph_ev_per_fu": 0.17, "dft_energy_ev_per_atom": -4.52, "sg": "C2/m (12)", "cell": [[4.303, -1.345, 0.000], [4.303, 1.345, 0.000], [-1.646, 0.000, 3.774]], "species": ["Co", "Ni", "Ni", "H", "H", "H", "H"], "fractional_positions": [[0.000, 0.000, 0.000], [0.331, 0.331, 0.325], [0.669, 0.669, 0.675], [0.139, 0.139, 0.421], [0.376, 0.376, 0.976], [0.624, 0.624, 0.024], [0.861, 0.861, 0.579]]}

---

[9]
{"formula": "Dy2Pu3NpTe6", "functional": "GGA-PBE", "state": "optimized geometry", "magmom_total_mub_per_cell": 1.240, "e_form_raw_ev_per_atom": -1.074, "dft_energy_ev_per_atom": -8.07, "sg": "C2/m (12)", "cell": [[9.625, -2.193, 0.000], [9.625, 2.193, 0.000], [-2.011, 0.000, 8.551]], "species": ["Dy", "Dy", "Pu", "Pu", "Pu", "Np", "Te", "Te", "Te", "Te", "Te", "Te"], "fractional_positions": [[0.165, 0.165, 0.331], [0.835, 0.835, 0.669], [0.167, 0.167, 0.833], [0.500, 0.500, 0.500], [0.833, 0.833, 0.167], [0.500, 0.500, 0.000], [0.001, 0.001, 0.250], [0.331, 0.331, 0.420], [0.333, 0.333, 0.913], [0.667, 0.667, 0.087], [0.669, 0.669, 0.580], [0.999, 0.999, 0.750]]}

---

[10]
{"formula": "Nd3Tm4S8", "functional": "GGA-PBE", "state": "optimized geometry", "magmom_total_mub_per_cell": 0.000, "e_form_raw_ev_per_atom": -2.009, "dft_energy_ev_per_atom": -6.36, "sg": "C2/m (12)", "cell": [[5.580, -5.584, 0.000], [5.580, 5.584, 0.000], [-5.525, 0.000, 5.589]], "species": ["Nd", "Nd", "Nd", "Tm", "Tm", "Tm", "Tm", "S", "S", "S", "S", "S", "S", "S", "S"], "fractional_positions": [[0.000, 0.000, 0.000], [0.000, 0.500, 0.000], [0.500, 0.000, 0.000], [0.000, 0.500, 0.500], [0.500, 0.000, 0.500], [0.500, 0.500, 0.000], [0.500, 0.500, 0.500], [0.255, 0.745, 0.500], [0.257, 0.743, 0.000], [0.260, 0.260, 0.513], [0.263, 0.263, 0.012], [0.737, 0.737, 0.988], [0.740, 0.740, 0.487], [0.743, 0.257, 0.000], [0.745, 0.255, 0.500]]}

---

[11]
{"formula": "HfSnRu2", "functional": "GGA-PBE", "state": "optimized geometry", "magmom_total_mub_per_cell": 0.000, "delta_e_f_ev_per_atom": 0.284, "dft_energy_ev_per_atom": -7.84, "sg": "I-42d (122)", "cell": [[-3.522, 3.522, 3.050], [3.522, -3.522, 3.050], [3.522, 3.522, -3.050]], "species": ["Hf", "Hf", "Sn", "Sn", "Ru", "Ru", "Ru", "Ru"], "fractional_positions": [[0.000, 0.000, 0.000], [0.750, 0.250, 0.500], [0.250, 0.750, 0.500], [0.500, 0.500, 0.000], [0.120, 0.125, 0.495], [0.375, 0.880, 0.005], [0.630, 0.625, 0.505], [0.875, 0.370, 0.995]]}

---

[12]
{"formula": "TePdPtPb2", "functional": "GGA-PBE", "state": "optimized geometry", "magmom_total_mub_per_cell": 0.000, "e_form_raw_ev_per_atom": 0.228, "dft_energy_ev_per_atom": -4.13, "sg": "P4/mmm (123)", "cell": [[5.275, 0.000, 0.000], [0.000, 5.275, 0.000], [0.000, 0.000, 5.205]], "species": ["Te", "Pd", "Pt", "Pb", "Pb"], "fractional_positions": [[0.000, 0.000, 0.000], [0.500, 0.500, 0.000], [0.500, 0.500, 0.500], [0.000, 0.500, 0.500], [0.500, 0.000, 0.500]]}

---

[13]
{"formula": "Li9Cd3Pt2", "functional": "GGA-PBE", "state": "optimized geometry", "magmom_total_mub_per_cell": 0.000, "delta_e_f_ev_per_atom": -0.293, "dft_energy_ev_per_atom": -2.58, "sg": "Immm (71)", "cell": [[-2.153, 5.098, 5.387], [2.153, -5.098, 5.387], [2.153, 5.098, -5.387]], "species": ["Li", "Li", "Li", "Li", "Li", "Li", "Li", "Li", "Li", "Cd", "Cd", "Cd", "Pt", "Pt"], "fractional_positions": [[0.000, 0.000, 0.000], [0.091, 0.870, 0.221], [0.243, 0.374, 0.869], [0.352, 0.130, 0.221], [0.495, 0.626, 0.869], [0.505, 0.374, 0.131], [0.648, 0.870, 0.779], [0.757, 0.626, 0.131], [0.909, 0.130, 0.779], [0.220, 0.720, 0.500], [0.500, 0.000, 0.500], [0.780, 0.280, 0.500], [0.150, 0.500, 0.650], [0.850, 0.500, 0.350]]}

---

[14]
{"formula": "Zr2TeW", "functional": "GGA-PBE", "state": "optimized geometry", "magmom_total_mub_per_cell": 0.000, "e_form_raw_ev_per_atom": 0.263, "de_polymorph_ev_per_fu": 1.83, "dft_energy_ev_per_atom": -8.03, "sg": "R3m (160)", "cell": [[1.663, 0.960, 9.139], [-1.663, 0.960, 9.139], [0.000, -1.921, 9.139]], "species": ["Zr", "Zr", "Te", "W"], "fractional_positions": [[0.000, 0.000, 0.000], [0.241, 0.241, 0.241], [0.484, 0.484, 0.484], [0.745, 0.745, 0.745]]}

---

[15]
{"formula": "Ca7GeN2", "functional": "GGA-PBE", "state": "optimized geometry", "magmom_total_mub_per_cell": 1.611, "e_form_raw_ev_per_atom": -0.364, "dft_energy_ev_per_atom": -3.89, "sg": "Cmmm (65)", "cell": [[4.753, -6.070, 0.000], [4.753, 6.070, 0.000], [0.000, 0.000, 4.665]], "species": ["Ca", "Ca", "Ca", "Ca", "Ca", "Ca", "Ca", "Ge", "N", "N"], "fractional_positions": [[0.000, 0.000, 0.000], [0.199, 0.474, 0.000], [0.203, 0.797, 0.500], [0.474, 0.199, 0.000], [0.526, 0.801, 0.000], [0.797, 0.203, 0.500], [0.801, 0.526, 0.000], [0.500, 0.500, 0.500], [0.214, 0.786, 0.000], [0.786, 0.214, 0.000]]}

---

[16]
{"formula": "Na2LiFe2", "functional": "GGA-PBE", "state": "optimized geometry", "magmom_total_mub_per_cell": 10.690, "delta_e_f_ev_per_atom": 0.726, "de_polymorph_ev_per_fu": 1.20, "dft_energy_ev_per_atom": -3.57, "sg": "P4/mbm (127)", "cell": [[8.785, 0.000, 0.000], [0.000, 8.785, 0.000], [0.000, 0.000, 2.660]], "species": ["Na", "Na", "Na", "Na", "Li", "Li", "Fe", "Fe", "Fe", "Fe"], "fractional_positions": [[0.198, 0.302, 0.000], [0.302, 0.802, 0.000], [0.698, 0.198, 0.000], [0.802, 0.698, 0.000], [0.000, 0.000, 0.000], [0.500, 0.500, 0.000], [0.090, 0.590, 0.500], [0.410, 0.090, 0.500], [0.590, 0.910, 0.500], [0.910, 0.410, 0.500]]}